1.
Here is an optimized crystal structure of YTa2Ru from Alexandria. Energies are from PBE.

Structure (CIF):
```
data_YTa2Ru
_symmetry_space_group_name_H-M 'I 4/m m m'
_symmetry_Int_Tables_number 139
_symmetry_space_group_name_Hall '-I 4 2'
_cell_length_a 3.9297
_cell_length_b 3.9297
_cell_length_c 10.0299
_cell_angle_alpha 90.00
_cell_angle_beta 90.00
_cell_angle_gamma 90.00
loop_
_atom_site_label
_atom_site_type_symbol
_atom_site_fract_x
_atom_site_fract_y
_atom_site_fract_z
_atom_site_occupancy
Y1 Y 0.0000 0.0000 0.0000 1
Ta1 Ta 0.0000 0.5000 0.2500 1
Ru1 Ru 0.0000 0.0000 0.5000 1
```

The energy relative to the lowest polymorph listed for this composition is 268 meV/atom.

2.
Here is an optimized crystal structure of YTa2Ru from Alexandria. Energies are from PBE.

Structure (CIF):
```
data_YTa2Ru
_symmetry_space_group_name_H-M 'P 4/m m m'
_symmetry_Int_Tables_number 123
_symmetry_space_group_name_Hall '-P 4 2'
_cell_length_a 4.8103
_cell_length_b 4.8103
_cell_length_c 3.2097
_cell_angle_alpha 90.00
_cell_angle_beta 90.00
_cell_angle_gamma 90.00
loop_
_atom_site_label
_atom_site_type_symbol
_atom_site_fract_x
_atom_site_fract_y
_atom_site_fract_z
_atom_site_occupancy
Y1 Y 0.0000 0.0000 0.0000 1
Ta1 Ta 0.0000 0.5000 0.5000 1
Ru1 Ru 0.5000 0.5000 0.0000 1
```

The energy relative to the lowest polymorph listed for this composition is 376 meV/atom.

3.
Here is an optimized crystal structure of YTa2Ru from Alexandria. Energies are from PBE.

Structure (CIF):
```
data_YTa2Ru
_symmetry_space_group_name_H-M 'P 1 2/m 1'
_symmetry_Int_Tables_number 10
_cell_length_a 3.0774
_cell_length_b 4.6492
_cell_length_c 5.5111
_cell_angle_alpha 90.00
_cell_angle_beta 103.90
_cell_angle_gamma 90.00
loop_
_symmetry_equiv_pos_as_xyz
'x,y,z'
'-x,-y,-z'
'-x,y,-z'
'x,-y,z'
loop_
_atom_site_label
_atom_site_type_symbol
_atom_site_fract_x
_atom_site_fract_y
_atom_site_fract_z
_atom_site_occupancy
Y1 Y 0.0000 0.0000 0.0000 1
Ta1 Ta 0.2940 0.5000 0.7283 1
Ru1 Ru 0.5000 0.0000 0.5000 1
```

The energy relative to the lowest polymorph listed for this composition is 190 meV/atom.

4.
Here is an optimized crystal structure of YTaRu2 from Alexandria. Energies are from PBE.

Structure (CIF):
```
data_YTaRu2
_symmetry_space_group_name_H-M 'R 3 m'
_symmetry_Int_Tables_number 160
_symmetry_space_group_name_Hall 'R 3 -2"'
_cell_length_a 2.9608
_cell_length_b 2.9608
_cell_length_c 28.4857
_cell_angle_alpha 90.00
_cell_angle_beta 90.00
_cell_angle_gamma 120.00
loop_
_atom_site_label
_atom_site_type_symbol
_atom_site_fract_x
_atom_site_fract_y
_atom_site_fract_z
_atom_site_occupancy
Y1 Y 0.0000 0.0000 0.0000 1
Ta1 Ta 0.0000 0.0000 0.7623 1
Ru1 Ru 0.0000 0.0000 0.2449 1
Ru2 Ru 0.0000 0.0000 0.5075 1
```

no.,calculated formation energy (eV/atom),size of the total moment (μB/f.u.),DOS(E_F) (states/eV/atom)
1,0.218,0.0,1.184
2,0.326,0.0,1.143
3,0.140,0.0,0.909
4,0.424,0.0,1.065